(i)
# ZnWCl2, single point on PBEsol structure, DFT meta-GGA SCAN
data_ZnWCl2
_cell_length_a 2.8853
_cell_length_b 4.6470
_cell_length_c 4.6470
_cell_angle_alpha 90.00
_cell_angle_beta 90.00
_cell_angle_gamma 90.00
_space_group_name_H-M_alt 'P 1'
_space_group_IT_number 1
_space_group_name_Hall 'P 1'
loop_
_atom_site_label
_atom_site_fract_x
_atom_site_fract_y
_atom_site_fract_z
Zn1 0.5000 0.0000 0.0000
W1 0.5000 0.5000 0.5000
Cl1 0.0000 0.0000 0.5000
Cl2 0.0000 0.5000 0.0000
# space group = P4/mmm



(ii)
# ZnWCl2, single point on PBEsol structure, DFT meta-GGA SCAN
data_ZnWCl2
_cell_length_a 3.0394
_cell_length_b 3.1164
_cell_length_c 9.0660
_cell_angle_alpha 90.00
_cell_angle_beta 90.00
_cell_angle_gamma 119.19
_space_group_name_H-M_alt 'P 1'
_space_group_IT_number 1
_space_group_name_Hall 'P 1'
loop_
_atom_site_label
_atom_site_fract_x
_atom_site_fract_y
_atom_site_fract_z
Zn1 0.5000 0.0000 0.7500
W1 0.0000 0.0000 0.5079
Cl1 0.0000 0.0000 0.9372
Cl2 0.5000 0.0000 0.3049
# space group = Cmm2



Which structure is the most stable? The one labeled (ii).



(i)
# ZrWCl, single point on PBEsol structure, DFT meta-GGA SCAN
data_ZrWCl
_cell_length_a 4.4661
_cell_length_b 4.4661
_cell_length_c 4.4661
_cell_angle_alpha 60.00
_cell_angle_beta 60.00
_cell_angle_gamma 60.00
_space_group_name_H-M_alt 'P 1'
_space_group_IT_number 1
_space_group_name_Hall 'P 1'
loop_
_atom_site_label
_atom_site_fract_x
_atom_site_fract_y
_atom_site_fract_z
Zr1 0.7500 0.7500 0.7500
W1 0.5000 0.5000 0.5000
Cl1 0.0000 0.0000 0.0000
# space group = F-43m



(ii)
# ZrWCl, single point on PBEsol structure, DFT meta-GGA SCAN
data_ZrWCl
_cell_length_a 2.8554
_cell_length_b 2.8554
_cell_length_c 7.8707
_cell_angle_alpha 100.45
_cell_angle_beta 100.45
_cell_angle_gamma 90.00
_space_group_name_H-M_alt 'P 1'
_space_group_IT_number 1
_space_group_name_Hall 'P 1'
loop_
_atom_site_label
_atom_site_fract_x
_atom_site_fract_y
_atom_site_fract_z
Zr1 0.3438 0.3438 0.6876
W1 0.6980 0.6980 0.3960
Cl1 0.9582 0.9582 0.9164
# space group = I4mm



Which structure is the most stable? The one labeled (ii).



(i)
# Zr2WCl, single point on PBEsol structure, DFT meta-GGA SCAN
data_Zr2WCl
_cell_length_a 3.1634
_cell_length_b 3.1634
_cell_length_c 9.2603
_cell_angle_alpha 95.62
_cell_angle_beta 95.62
_cell_angle_gamma 56.62
_space_group_name_H-M_alt 'P 1'
_space_group_IT_number 1
_space_group_name_Hall 'P 1'
loop_
_atom_site_label
_atom_site_fract_x
_atom_site_fract_y
_atom_site_fract_z
Zr1 0.0329 0.0329 0.0097
Zr2 0.7450 0.7450 0.7240
W1 0.3397 0.3397 0.2447
Cl1 0.3825 0.3825 0.5217
# space group = Cm



(ii)
# Zr2WCl, single point on PBEsol structure, DFT meta-GGA SCAN
data_Zr2WCl
_cell_length_a 3.1573
_cell_length_b 4.8272
_cell_length_c 4.8272
_cell_angle_alpha 97.21
_cell_angle_beta 90.00
_cell_angle_gamma 90.00
_space_group_name_H-M_alt 'P 1'
_space_group_IT_number 1
_space_group_name_Hall 'P 1'
loop_
_atom_site_label
_atom_site_fract_x
_atom_site_fract_y
_atom_site_fract_z
Zr1 0.0000 0.5000 0.0000
Zr2 0.0000 0.0000 0.5000
W1 0.5000 0.5000 0.5000
Cl1 0.5000 0.0000 0.0000
# space group = Cmmm



Which structure is the most stable? The one labeled (i).



(i)
# YZr2Cl, single point on PBEsol structure, DFT meta-GGA SCAN
data_YZr2Cl
_cell_length_a 3.1748
_cell_length_b 5.7314
_cell_length_c 5.9764
_cell_angle_alpha 118.65
_cell_angle_beta 105.40
_cell_angle_gamma 90.00
_space_group_name_H-M_alt 'P 1'
_space_group_IT_number 1
_space_group_name_Hall 'P 1'
loop_
_atom_site_label
_atom_site_fract_x
_atom_site_fract_y
_atom_site_fract_z
Y1 0.2134 0.7134 0.4269
Zr1 0.0172 0.0172 0.0344
Zr2 0.7809 0.2809 0.5618
Cl1 0.4885 0.4885 0.9769
# space group = Imm2



(ii)
# YZr2Cl, single point on PBEsol structure, DFT meta-GGA SCAN
data_YZr2Cl
_cell_length_a 3.2579
_cell_length_b 5.3475
_cell_length_c 5.4332
_cell_angle_alpha 90.00
_cell_angle_beta 90.00
_cell_angle_gamma 90.00
_space_group_name_H-M_alt 'P 1'
_space_group_IT_number 1
_space_group_name_Hall 'P 1'
loop_
_atom_site_label
_atom_site_fract_x
_atom_site_fract_y
_atom_site_fract_z
Y1 0.5000 0.5000 0.5000
Zr1 0.0000 0.0000 0.7371
Zr2 0.0000 0.0000 0.2629
Cl1 0.5000 0.5000 0.0000
# space group = Pmmm



Which structure is the most stable? The one labeled (i).



(i)
# Cr2CoCu, single point on PBEsol structure, DFT meta-GGA SCAN
data_Cr2CoCu
_cell_length_a 2.8916
_cell_length_b 2.8916
_cell_length_c 5.3196
_cell_angle_alpha 90.00
_cell_angle_beta 90.00
_cell_angle_gamma 90.00
_space_group_name_H-M_alt 'P 1'
_space_group_IT_number 1
_space_group_name_Hall 'P 1'
loop_
_atom_site_label
_atom_site_fract_x
_atom_site_fract_y
_atom_site_fract_z
Co1 0.5000 0.5000 0.7573
Cr1 0.0000 0.0000 0.9978
Cr2 0.5000 0.5000 0.2384
Cu1 0.0000 0.0000 0.5065
# space group = P4mm



(ii)
# Cr2CoCu, single point on PBEsol structure, DFT meta-GGA SCAN
data_Cr2CoCu
_cell_length_a 2.4164
_cell_length_b 2.4164
_cell_length_c 7.4226
_cell_angle_alpha 90.00
_cell_angle_beta 90.00
_cell_angle_gamma 90.00
_space_group_name_H-M_alt 'P 1'
_space_group_IT_number 1
_space_group_name_Hall 'P 1'
loop_
_atom_site_label
_atom_site_fract_x
_atom_site_fract_y
_atom_site_fract_z
Co1 0.5000 0.5000 0.5000
Cr1 0.0000 0.0000 0.7370
Cr2 0.0000 0.0000 0.2630
Cu1 0.5000 0.5000 0.0000
# space group = P4/mmm



(iii)
# Cr2CoCu, single point on PBEsol structure, DFT meta-GGA SCAN
data_Cr2CoCu
_cell_length_a 3.5991
_cell_length_b 3.5991
_cell_length_c 4.2629
_cell_angle_alpha 114.97
_cell_angle_beta 114.97
_cell_angle_gamma 90.00
_space_group_name_H-M_alt 'P 1'
_space_group_IT_number 1
_space_group_name_Hall 'P 1'
loop_
_atom_site_label
_atom_site_fract_x
_atom_site_fract_y
_atom_site_fract_z
Co1 0.2500 0.7500 0.5000
Cr1 0.0000 0.0000 0.0000
Cr2 0.7500 0.2500 0.5000
Cu1 0.5000 0.5000 0.0000
# space group = I-4m2



Which structure is the most stable? The one labeled (i).



(i)
# CrIn2Co, single point on PBEsol structure, DFT meta-GGA SCAN
data_CrIn2Co
_cell_length_a 4.3388
_cell_length_b 4.5357
_cell_length_c 4.3388
_cell_angle_alpha 61.43
_cell_angle_beta 90.00
_cell_angle_gamma 118.57
_space_group_name_H-M_alt 'P 1'
_space_group_IT_number 1
_space_group_name_Hall 'P 1'
loop_
_atom_site_label
_atom_site_fract_x
_atom_site_fract_y
_atom_site_fract_z
Co1 0.5000 0.0000 0.5000
Cr1 0.0000 0.0000 0.0000
In1 0.2500 0.5000 0.2500
In2 0.7500 0.5000 0.7500
# space group = I4/mmm



(ii)
# CrIn2Co, single point on PBEsol structure, DFT meta-GGA SCAN
data_CrIn2Co
_cell_length_a 4.4973
_cell_length_b 4.4973
_cell_length_c 4.4973
_cell_angle_alpha 60.00
_cell_angle_beta 60.00
_cell_angle_gamma 60.00
_space_group_name_H-M_alt 'P 1'
_space_group_IT_number 1
_space_group_name_Hall 'P 1'
loop_
_atom_site_label
_atom_site_fract_x
_atom_site_fract_y
_atom_site_fract_z
Co1 0.5000 0.5000 0.5000
Cr1 0.2500 0.2500 0.2500
In1 0.0000 0.0000 0.0000
In2 0.7500 0.7500 0.7500
# space group = F-43m



(iii)
# CrIn2Co, single point on PBEsol structure, DFT meta-GGA SCAN
data_CrIn2Co
_cell_length_a 2.8942
_cell_length_b 2.8942
_cell_length_c 7.7383
_cell_angle_alpha 90.00
_cell_angle_beta 90.00
_cell_angle_gamma 90.00
_space_group_name_H-M_alt 'P 1'
_space_group_IT_number 1
_space_group_name_Hall 'P 1'
loop_
_atom_site_label
_atom_site_fract_x
_atom_site_fract_y
_atom_site_fract_z
Co1 0.0000 0.0000 0.5464
Cr1 0.5000 0.5000 0.6982
In1 0.0000 0.0000 0.9485
In2 0.5000 0.5000 0.3069
# space group = P4mm



Which structure is the most stable? The one labeled (i).



(i)
# KCrCo2, single point on PBEsol structure, DFT meta-GGA SCAN
data_KCrCo2
_cell_length_a 2.6197
_cell_length_b 2.6197
_cell_length_c 9.3058
_cell_angle_alpha 81.91
_cell_angle_beta 81.91
_cell_angle_gamma 60.00
_space_group_name_H-M_alt 'P 1'
_space_group_IT_number 1
_space_group_name_Hall 'P 1'
loop_
_atom_site_label
_atom_site_fract_x
_atom_site_fract_y
_atom_site_fract_z
Co1 0.2333 0.2333 0.3000
Co2 0.7667 0.7667 0.7000
Cr1 0.5000 0.5000 0.5000
K1 0.0000 0.0000 0.0000
# space group = R-3m



(ii)
# KCrCo2, single point on PBEsol structure, DFT meta-GGA SCAN
data_KCrCo2
_cell_length_a 2.6417
_cell_length_b 4.0858
_cell_length_c 6.9023
_cell_angle_alpha 96.81
_cell_angle_beta 90.00
_cell_angle_gamma 108.86
_space_group_name_H-M_alt 'P 1'
_space_group_IT_number 1
_space_group_name_Hall 'P 1'
loop_
_atom_site_label
_atom_site_fract_x
_atom_site_fract_y
_atom_site_fract_z
Co1 0.7210 0.4420 0.6275
Co2 0.2790 0.5580 0.3725
Cr1 0.0000 0.0000 0.5000
K1 0.5000 0.0000 0.0000
# space group = C2/m



Which structure is the most stable? The one labeled (i).



(i)
# LiCr2Co, single point on PBEsol structure, DFT meta-GGA SCAN
data_LiCr2Co
_cell_length_a 2.7057
_cell_length_b 4.0493
_cell_length_c 4.0493
_cell_angle_alpha 90.00
_cell_angle_beta 90.00
_cell_angle_gamma 90.00
_space_group_name_H-M_alt 'P 1'
_space_group_IT_number 1
_space_group_name_Hall 'P 1'
loop_
_atom_site_label
_atom_site_fract_x
_atom_site_fract_y
_atom_site_fract_z
Co1 0.5000 0.0000 0.0000
Cr1 0.0000 0.0000 0.5000
Cr2 0.0000 0.5000 0.0000
Li1 0.5000 0.5000 0.5000
# space group = P4/mmm



(ii)
# LiCr2Co, single point on PBEsol structure, DFT meta-GGA SCAN
data_LiCr2Co
_cell_length_a 2.7176
_cell_length_b 4.1552
_cell_length_c 4.5963
_cell_angle_alpha 116.87
_cell_angle_beta 107.20
_cell_angle_gamma 90.00
_space_group_name_H-M_alt 'P 1'
_space_group_IT_number 1
_space_group_name_Hall 'P 1'
loop_
_atom_site_label
_atom_site_fract_x
_atom_site_fract_y
_atom_site_fract_z
Co1 0.2599 0.7599 0.5199
Cr1 0.0107 0.0107 0.0213
Cr2 0.7274 0.2274 0.4547
Li1 0.5020 0.5020 0.0041
# space group = Imm2



Which structure is the most stable? The one labeled (ii).



(i)
# LiCr2Co, single point on PBEsol structure, DFT meta-GGA SCAN
data_LiCr2Co
_cell_length_a 2.3771
_cell_length_b 4.1458
_cell_length_c 4.5485
_cell_angle_alpha 93.61
_cell_angle_beta 90.00
_cell_angle_gamma 106.66
_space_group_name_H-M_alt 'P 1'
_space_group_IT_number 1
_space_group_name_Hall 'P 1'
loop_
_atom_site_label
_atom_site_fract_x
_atom_site_fract_y
_atom_site_fract_z
Co1 0.7479 0.4957 0.2521
Cr1 0.0086 0.0171 0.0075
Cr2 0.2488 0.4975 0.7428
Li1 0.4948 0.9896 0.4976
# space group = Cm



(ii)
# LiCr2Co, single point on PBEsol structure, DFT meta-GGA SCAN
data_LiCr2Co
_cell_length_a 2.4021
_cell_length_b 2.4021
_cell_length_c 7.9254
_cell_angle_alpha 90.00
_cell_angle_beta 90.00
_cell_angle_gamma 90.00
_space_group_name_H-M_alt 'P 1'
_space_group_IT_number 1
_space_group_name_Hall 'P 1'
loop_
_atom_site_label
_atom_site_fract_x
_atom_site_fract_y
_atom_site_fract_z
Co1 0.5000 0.5000 0.7705
Cr1 0.0000 0.0000 0.9787
Cr2 0.5000 0.5000 0.2321
Li1 0.0000 0.0000 0.5188
# space group = P4mm



Which structure is the most stable? The one labeled (ii).



(i)
# Li3CrCo3O8, single point on PBEsol structure, DFT meta-GGA SCAN
data_Li3CrCo3O8
_cell_length_a 5.6104
_cell_length_b 5.6098
_cell_length_c 5.6616
_cell_angle_alpha 118.92
_cell_angle_beta 90.00
_cell_angle_gamma 120.00
_space_group_name_H-M_alt 'P 1'
_space_group_IT_number 1
_space_group_name_Hall 'P 1'
loop_
_atom_site_label
_atom_site_fract_x
_atom_site_fract_y
_atom_site_fract_z
Li1 0.5000 0.0000 0.0000
Li2 0.0000 0.5000 0.0000
Li3 0.5000 0.5000 0.0000
Cr1 0.0000 0.0000 0.5000
Co1 0.5000 0.0000 0.5000
Co2 0.0000 0.5000 0.5000
Co3 0.5000 0.5000 0.5000
O1 0.7320 0.4640 0.7055
O2 0.2680 0.5360 0.2945
O3 0.7582 0.5164 0.2775
O4 0.2418 0.4836 0.7225
O5 0.7321 0.9730 0.7140
O6 0.7591 0.0270 0.2860
O7 0.2409 0.9730 0.7140
O8 0.2679 0.0270 0.2860
# space group = C2/m



(ii)
# Li3CrCo3O8, single point on PBEsol structure, DFT meta-GGA SCAN
data_Li3CrCo3O8
_cell_length_a 5.6062
_cell_length_b 5.6062
_cell_length_c 5.7145
_cell_angle_alpha 60.62
_cell_angle_beta 60.62
_cell_angle_gamma 60.00
_space_group_name_H-M_alt 'P 1'
_space_group_IT_number 1
_space_group_name_Hall 'P 1'
loop_
_atom_site_label
_atom_site_fract_x
_atom_site_fract_y
_atom_site_fract_z
Li1 0.0000 0.5000 0.5000
Li2 0.5000 0.0000 0.5000
Li3 0.0000 0.0000 0.5000
Cr1 0.0000 0.0000 0.0000
Co1 0.5000 0.5000 0.0000
Co2 0.5000 0.0000 0.0000
Co3 0.0000 0.5000 0.0000
O1 0.2618 0.7621 0.2140
O2 0.7621 0.2618 0.2140
O3 0.7621 0.7621 0.2140
O4 0.2624 0.2624 0.2128
O5 0.7376 0.7376 0.7872
O6 0.2379 0.2379 0.7860
O7 0.2379 0.7382 0.7860
O8 0.7382 0.2379 0.7860
# space group = R-3m



Which structure is the most stable? The one labeled (i).



(i)
# Li2CrCo3O8, single point on PBEsol structure, DFT meta-GGA SCAN
data_Li2CrCo3O8
_cell_length_a 7.9597
_cell_length_b 7.9597
_cell_length_c 7.9597
_cell_angle_alpha 90.00
_cell_angle_beta 90.00
_cell_angle_gamma 90.00
_space_group_name_H-M_alt 'P 1'
_space_group_IT_number 1
_space_group_name_Hall 'P 1'
loop_
_atom_site_label
_atom_site_fract_x
_atom_site_fract_y
_atom_site_fract_z
Li1 0.1198 0.6200 0.6299
Li2 0.3800 0.8802 0.3701
Li3 0.3701 0.3800 0.8802
Li4 0.6299 0.1198 0.6200
Li5 0.6200 0.6299 0.1198
Li6 0.8802 0.3701 0.3800
Li7 0.8696 0.8696 0.8696
Li8 0.1304 0.1304 0.1304
Cr1 0.2496 0.0000 0.7504
Cr2 0.5000 0.5000 0.5000
Cr3 0.7504 0.2496 0.0000
Cr4 0.0000 0.7504 0.2496
Co1 0.2525 0.2501 0.5025
Co2 0.2501 0.5025 0.2525
Co3 0.2475 0.7525 0.0000
Co4 0.5025 0.2525 0.2501
Co5 0.5000 0.0024 0.9976
Co6 0.4975 0.7499 0.7475
Co7 0.7525 0.0000 0.2475
Co8 0.7499 0.7475 0.4975
Co9 0.7475 0.4975 0.7499
Co10 0.0024 0.9976 0.5000
Co11 0.0000 0.2475 0.7525
Co12 0.9976 0.5000 0.0024
O1 0.2389 0.0135 0.5108
O2 0.2367 0.2396 0.7389
O3 0.2324 0.5178 0.0177
O4 0.2605 0.4868 0.4890
O5 0.2396 0.7389 0.2367
O6 0.2678 0.2678 0.2678
O7 0.2633 0.9891 0.9898
O8 0.2611 0.7604 0.7633
O9 0.4890 0.2605 0.4868
O10 0.4868 0.4890 0.2605
O11 0.4822 0.7676 0.9823
O12 0.5108 0.2389 0.0135
O13 0.4892 0.9865 0.7611
O14 0.5178 0.0177 0.2324
O15 0.5132 0.7395 0.5110
O16 0.5110 0.5132 0.7395
O17 0.7389 0.2367 0.2396
O18 0.7367 0.0102 0.0109
O19 0.7322 0.7322 0.7322
O20 0.7604 0.7633 0.2611
O21 0.7395 0.5110 0.5132
O22 0.7676 0.9823 0.4822
O23 0.7633 0.2611 0.7604
O24 0.7611 0.4892 0.9865
O25 0.9891 0.9898 0.2633
O26 0.9865 0.7611 0.4892
O27 0.9823 0.4822 0.7676
O28 0.0102 0.0109 0.7367
O29 0.9898 0.2633 0.9891
O30 0.0177 0.2324 0.5178
O31 0.0135 0.5108 0.2389
O32 0.0109 0.7367 0.0102
# space group = R32



(ii)
# Li2CrCo3O8, single point on PBEsol structure, DFT meta-GGA SCAN
data_Li2CrCo3O8
_cell_length_a 5.5922
_cell_length_b 5.5922
_cell_length_c 8.9784
_cell_angle_alpha 90.00
_cell_angle_beta 90.00
_cell_angle_gamma 120.00
_space_group_name_H-M_alt 'P 1'
_space_group_IT_number 1
_space_group_name_Hall 'P 1'
loop_
_atom_site_label
_atom_site_fract_x
_atom_site_fract_y
_atom_site_fract_z
Li1 0.6667 0.3333 0.1080
Li2 0.0000 0.0000 0.0006
Li3 0.0000 0.0000 0.5006
Li4 0.3333 0.6667 0.6080
Cr1 0.6667 0.3333 0.5066
Cr2 0.3333 0.6667 0.0066
Co1 0.8299 0.6598 0.7874
Co2 0.8299 0.1701 0.7874
Co3 0.3402 0.1701 0.7874
Co4 0.6598 0.8299 0.2874
Co5 0.1701 0.8299 0.2874
Co6 0.1701 0.3402 0.2874
O1 0.8315 0.6631 0.3978
O2 0.9562 0.4781 0.6609
O3 0.6667 0.3333 0.8933
O4 0.0000 0.0000 0.6931
O5 0.0000 0.0000 0.1931
O6 0.8315 0.1685 0.3978
O7 0.5219 0.4781 0.6609
O8 0.5219 0.0438 0.6609
O9 0.6631 0.8315 0.8978
O10 0.3369 0.1685 0.3978
O11 0.4781 0.9562 0.1609
O12 0.4781 0.5219 0.1609
O13 0.3333 0.6667 0.3933
O14 0.1685 0.8315 0.8978
O15 0.0438 0.5219 0.1609
O16 0.1685 0.3369 0.8978
# space group = P6_3mc



Which structure is the most stable? The one labeled (i).